A relaxed La2TlSe2 crystal, computed with PBE.

Geometry as extended XYZ:
```
10
Lattice="8.462 0.000 0.000 0.000 8.462 0.000 0.000 0.000 3.890" Properties=species:S:1:pos:R:3 pbc="T T T"
La 5.582 7.111 1.945
La 7.111 2.880 1.945
La 1.351 5.582 1.945
La 2.880 1.351 1.945
Se 3.055 7.286 0.000
Se 7.286 5.407 0.000
Se 1.176 3.055 0.000
Se 5.407 1.176 0.000
Tl 4.231 4.231 0.000
Tl 0.000 0.000 0.000
```

Summary:
DOS(E_F)	1.1382	states/eV/atom
energy above the most stable polymorph in this dataset	0.000	eV per formula unit
space-group type	P4/mbm, No. 127